# 1
The following is a DFT calculation (PBE) of a relaxed NdLuH2 crystal.

Properties
Density in g/cm³: 7.45
Calculated volume in Å³ per atom: 17.90
Total DFT energy (no corrections) in eV per atom: -4.4555

Cell and atoms, written as extended XYZ:
```
4
Lattice="1.879 1.085 5.852 -1.879 1.085 5.852 0.000 -2.170 5.852" Properties=species:S:1:pos:R:3 pbc="T T T"
Nd 0.000 0.000 0.000
Lu 0.000 0.000 8.778
H 0.000 0.000 6.640
H 0.000 0.000 10.916
```

---

# 2
The following is a DFT calculation (PBE) of a relaxed Nd3LuH crystal.

Properties
Density in g/cm³: 7.53
Calculated volume in Å³ per atom: 26.84
Total DFT energy (no corrections) in eV per atom: -4.5961

Cell and atoms, written as extended XYZ:
```
5
Lattice="5.120 0.000 0.000 0.000 5.120 0.000 0.000 0.000 5.120" Properties=species:S:1:pos:R:3 pbc="T T T"
Nd 0.000 0.000 2.560
Nd 0.000 2.560 0.000
Nd 2.560 0.000 0.000
Lu 2.560 2.560 2.560
H 0.000 0.000 0.000
```

---

# 3
The following is a DFT calculation (PBE) of a relaxed NdLuH crystal.

Properties
Density in g/cm³: 7.55
Calculated volume in Å³ per atom: 23.47
Total DFT energy (no corrections) in eV per atom: -4.3135

Cell and atoms, written as extended XYZ:
```
3
Lattice="-1.707 1.707 6.044 1.707 -1.707 6.044 1.707 1.707 -6.044" Properties=species:S:1:pos:R:3 pbc="T T T"
Nd 0.000 0.000 0.000
Lu 0.000 0.000 3.508
H 0.000 0.000 5.690
```

---

# 4
The following is a DFT calculation (PBE) of a relaxed LuNiH2 crystal.

Properties
Density in g/cm³: 8.54
Calculated volume in Å³ per atom: 11.46
Total DFT energy (no corrections) in eV per atom: -4.6587

Cell and atoms, written as extended XYZ:
```
4
Lattice="1.872 1.081 3.776 -1.872 1.081 3.776 0.000 -2.162 3.776" Properties=species:S:1:pos:R:3 pbc="T T T"
Lu 0.000 0.000 0.000
Ni 0.000 0.000 5.664
H 0.000 0.000 4.124
H 0.000 0.000 7.204
```

---

# 5
The following is a DFT calculation (PBE) of a relaxed Lu3Ni5H12 crystal.

Properties
Density in g/cm³: 8.16
Calculated volume in Å³ per atom: 8.45
Total DFT energy (no corrections) in eV per atom: -4.4239

Cell and atoms, written as extended XYZ:
```
80
Lattice="-5.528 5.528 5.528 5.528 -5.528 5.528 5.528 5.528 -5.528" Properties=species:S:1:pos:R:3 pbc="T T T"
Lu 2.764 1.382 0.000
Lu 5.528 2.764 -1.382
Lu 1.382 0.000 2.764
Lu 6.911 0.000 2.764
Lu 0.000 2.764 1.382
Lu 2.764 -1.382 5.528
Lu 2.764 6.911 0.000
Lu 5.528 2.764 4.146
Lu -1.382 5.528 2.764
Lu 4.146 5.528 2.764
Lu 0.000 2.764 6.911
Lu 2.764 4.146 5.528
Ni 0.000 0.000 0.000
Ni 2.764 2.764 -2.764
Ni 2.764 -2.764 2.764
Ni 5.528 0.000 0.000
Ni 8.293 1.382 0.000
Ni 5.528 -2.764 4.146
Ni 4.146 5.528 -2.764
Ni 4.146 0.000 2.764
Ni 2.764 4.146 0.000
Ni 5.528 2.764 1.382
Ni -2.764 2.764 2.764
Ni 0.000 5.528 0.000
Ni 0.000 0.000 5.528
Ni 2.764 2.764 2.764
Ni 0.000 2.764 4.146
Ni 2.764 1.382 5.528
Ni 1.382 5.528 2.764
Ni 1.382 0.000 8.293
Ni 0.000 8.293 1.382
Ni -2.764 4.146 5.528
H 1.595 -0.365 0.553
H 6.698 3.317 -3.129
H 7.123 0.365 0.553
H 6.698 -2.211 3.129
H 5.163 -0.553 1.595
H 8.658 -1.170 2.211
H 0.553 1.595 -0.365
H 7.740 2.399 -1.170
H 3.317 3.129 -1.170
H 4.975 1.595 0.365
H -0.365 0.553 1.595
H 3.129 -1.170 3.317
H 5.163 4.975 -1.595
H 3.129 1.170 2.211
H 3.317 -3.129 6.698
H 4.975 -1.595 5.163
H 2.211 3.129 1.170
H 6.082 3.934 0.365
H 3.129 6.698 -2.211
H 5.163 0.553 3.934
H 1.595 5.163 -0.553
H 6.698 2.211 2.399
H 1.170 2.211 3.129
H 1.595 0.365 4.975
H 3.934 5.163 0.553
H 4.359 3.317 2.399
H -1.170 3.317 3.129
H 3.934 0.365 6.082
H 0.365 4.975 1.595
H 2.399 -1.170 7.740
H -0.553 1.595 5.163
H 3.317 2.399 4.359
H 0.553 7.123 0.365
H 2.211 8.658 -1.170
H 2.399 4.359 3.317
H 0.365 0.553 7.123
H 2.399 6.698 2.211
H 5.894 4.975 3.934
H 0.553 3.934 5.163
H 2.211 2.399 6.698
H -2.211 3.129 6.698
H 4.975 3.934 5.894
H -3.129 6.698 3.317
H 0.365 6.082 3.934
H -1.170 7.740 2.399
H -1.595 5.163 4.975
H -1.170 2.211 8.658
H 3.934 5.894 4.975
```

---

# 6
The following is a DFT calculation (PBE) of a relaxed LuNiH crystal.

Properties
Density in g/cm³: 9.77
Calculated volume in Å³ per atom: 13.29
Total DFT energy (no corrections) in eV per atom: -4.7536

Cell and atoms, written as extended XYZ:
```
3
Lattice="3.617 0.000 0.000 -1.808 3.132 0.000 0.000 0.000 3.521" Properties=species:S:1:pos:R:3 pbc="T T T"
Lu 0.000 0.000 0.000
Ni 1.808 1.044 1.760
H 0.000 2.088 1.760
```